*a*
First-principles (PBE) data for a geometry-optimized Pr3MgRh structure, as listed in the Alexandria database.

Results
The value obtained for the density of states at the Fermi level is 1.014 states/eV/atom. The total magnetization comes out at 0.0 μB/f.u. For the volume, the calculation gives 580.9 Å³ per cell. As for the symmetry: C2/m (12).

Geometry as POSCAR:
```
Pr3MgRh
1.0
-4.7739 -2.1132 4.5288
-5.4741 -4.0132 -7.6430
6.6613 -5.1779 4.6056
Pr Mg Rh
12 4 4
Direct
0.0004 0.7009 0.9064
0.9996 0.2991 0.0936
0.5004 0.7991 0.0936
0.4996 0.2009 0.9064
0.5000 0.4209 0.7273
0.5000 0.5791 0.2727
0.0000 0.0791 0.2727
0.0000 0.9209 0.7273
0.0000 0.3018 0.7125
0.0000 0.6982 0.2875
0.5001 0.1982 0.2875
0.4999 0.8018 0.7125
0.7966 0.5001 0.5002
0.2034 0.4999 0.4998
0.2966 0.9999 0.4999
0.7034 0.0001 0.5001
0.2391 0.4999 0.9999
0.7609 0.5001 0.0001
0.7391 0.0001 0.0001
0.2609 0.9999 0.9999
```

---

*b*
First-principles (PBE) data for a geometry-optimized Pr3MgRh structure, as listed in the Alexandria database.

Results
The value obtained for the density of states at the Fermi level is 1.118 states/eV/atom. The total magnetization comes out at 0.0 μB/f.u. For the volume, the calculation gives 173.0 Å³ per cell. As for the symmetry: Pm-3m (221).

Geometry as POSCAR:
```
Pr3MgRh
1.0
5.5719 0.0000 0.0000
0.0000 5.5719 0.0000
0.0000 0.0000 5.5719
Pr Mg Rh
3 1 1
Direct
0.0000 0.5000 0.0000
0.0000 0.0000 0.5000
0.5000 0.0000 0.0000
0.5000 0.5000 0.5000
0.0000 0.0000 0.0000
```

---

Ordering by calculated energy gives the sequence *a*, *b*, with the first entry being the most stable.